Entry 1:
VASP calculation (meta-GGA SCAN) on a crystal of Fe2Rh3 relaxed with PBEsol.

* calculated formation energy: -59 meV per atom
* space-group type: Immm (71)

Unit cell a=2.6411 b=3.6579 c=6.9042 alpha=105.36 beta=101.03 gamma=90.00
Last column: nearest neighbours and their distance in Å.
Element x y z (fractional)
Rh1 0.3934 0.3934 0.7867  5 Fe 2.51-2.57, 7 Rh 2.64-2.78
Fe1 0.7988 0.7988 0.5976  6 Rh 2.51-2.63, 6 Fe 2.59-2.64
Fe2 0.2012 0.2012 0.4024  6 Rh 2.51-2.63, 6 Fe 2.59-2.64
Rh2 0.6066 0.6066 0.2133  5 Fe 2.51-2.57, 7 Rh 2.64-2.78
Rh3 0.0000 0.0000 0.0000  2 Fe 2.63, 10 Rh 2.64-2.65

=====

Entry 2:
VASP calculation (meta-GGA SCAN) on a crystal of MnCuSe4 relaxed with PBEsol.

* space-group type: P2_1/c (14)

Unit cell a=5.9321 b=5.9252 c=5.9047 alpha=90.00 beta=91.01 gamma=90.00
Last column: nearest neighbours and their distance in Å.
Element x y z (fractional)
Se1 0.1054 0.1318 0.6346  2 Mn 2.39-2.40, 1 Se 2.54, 1 Cu 2.60
Se2 0.6295 0.1137 0.8876  1 Mn 2.38, 1 Se 2.45, 2 Cu 2.49-2.51
Se3 0.8946 0.6318 0.8654  2 Mn 2.39-2.40, 1 Se 2.54, 1 Cu 2.60
Cu1 0.5000 0.0000 0.5000  6 Se 2.49-2.60
Se4 0.3705 0.6137 0.6124  1 Mn 2.38, 1 Se 2.45, 2 Cu 2.49-2.51
Cu2 0.5000 0.5000 0.0000  6 Se 2.49-2.60
Mn1 0.0000 0.5000 0.5000  6 Se 2.38-2.40
Se5 0.1054 0.3682 0.1346  2 Mn 2.39-2.40, 1 Se 2.54, 1 Cu 2.60
Se6 0.3705 0.8863 0.1124  1 Mn 2.38, 1 Se 2.45, 2 Cu 2.49-2.51
Se7 0.6295 0.3863 0.3876  1 Mn 2.38, 1 Se 2.45, 2 Cu 2.49-2.51
Mn2 0.0000 0.0000 0.0000  6 Se 2.38-2.40
Se8 0.8946 0.8682 0.3654  2 Mn 2.39-2.40, 1 Se 2.54, 1 Cu 2.60

=====

Entry 3:
VASP calculation (meta-GGA SCAN) on a crystal of H2PtRh relaxed with PBEsol.

* space-group type: I-42d (122)

Unit cell a=4.2238 b=4.2238 c=4.9997 alpha=114.99 beta=114.99 gamma=90.00
Last column: nearest neighbours and their distance in Å.
Element x y z (fractional)
Rh1 0.7500 0.2500 0.5000  4 H 1.77
H1 0.3861 0.8750 0.2500  2 Rh 1.77, 2 Pt 1.83
Rh2 0.5000 0.5000 0.0000  4 H 1.77
Pt1 0.0000 0.0000 0.0000  4 H 1.83
H2 0.1250 0.1361 0.7500  2 Rh 1.77, 2 Pt 1.83
H3 0.8639 0.3750 0.2500  2 Rh 1.77, 2 Pt 1.83
Pt2 0.2500 0.7500 0.5000  4 H 1.83
H4 0.6250 0.6139 0.7500  2 Rh 1.77, 2 Pt 1.83

=====

no.,size of the total moment (μB/cell),calculated total energy (eV/atom)
1,6.5,-27.573
2,3.4,-19.256
3,0.0,-27.607